Record 1
! LaIn2W | Alexandria | SCAN | PBEsol geometry; values from VASP
! Energy of formation, eV per atom: 0.34
! Relative energy among the computed polymorphs, kJ per mole of atoms: 0.00
! N(E_F), states/eV per atom: 0.46
! VASP energy, eV per cell: -178.188
&SYSTEM
  ibrav = 0, nat = 4, ntyp = 3
/
ATOMIC_SPECIES
In 114.82 In.upf
La 138.91 La.upf
W 183.84 W.upf
ATOMIC_POSITIONS angstrom
In 2.522 1.456 1.030
In 7.567 4.369 3.089
La 0.000 0.000 0.000
W 5.044 2.912 2.059
CELL_PARAMETERS angstrom
5.044 0.000 0.000
2.522 4.369 0.000
2.522 1.456 4.119

Record 2
! ZrScCd2 | Alexandria | SCAN | PBEsol geometry; values from VASP
! Energy of formation, eV per atom: -0.22
! Relative energy among the computed polymorphs, kJ per mole of atoms: 7.03
! N(E_F), states/eV per atom: 0.82
! VASP energy, eV per cell: -106.628
&SYSTEM
  ibrav = 0, nat = 4, ntyp = 3
/
ATOMIC_SPECIES
Cd 112.41 Cd.upf
Sc 44.96 Sc.upf
Zr 91.22 Zr.upf
ATOMIC_POSITIONS angstrom
Cd -2.853 1.978 0.280
Cd -0.937 3.620 1.545
Sc -0.173 0.607 0.648
Zr -3.167 2.759 3.432
CELL_PARAMETERS angstrom
-0.457 2.253 -2.233
-4.457 -1.079 -0.177
-0.875 2.753 5.258